Computed, not measured: Sc2CoAgP after structural relaxation at the GGA-PBE level of DFT.

Calculated values
Uncorrected energy: -5.961 eV per atom
Formation energy: -0.3545 eV per atom
Total magnetic moment: 0.0 μB/cell

Cell: 4.9284 4.0569 4.9284 Å, 90.00 90.00 90.00°
Positions (direct):
Ag: 0.5000 0.5000 0.5000
P: 0.0000 0.0000 0.0000
Sc: 0.5000 0.0000 0.0000
Sc: 0.0000 0.0000 0.5000
Co: 0.0000 0.5000 0.0000

***

Computed, not measured: ScCoAg2P after structural relaxation at the GGA-PBE level of DFT.

Calculated values
Uncorrected energy: -4.286 eV per atom
Formation energy: 0.6242 eV per atom
Total magnetic moment: 0.0 μB/cell

Cell: 4.7563 4.4724 4.7563 Å, 90.00 90.00 90.00°
Positions (direct):
Sc: 0.0000 0.5000 0.0000
Ag: 0.0000 0.0000 0.5000
P: 0.5000 0.5000 0.5000
Co: 0.0000 0.0000 0.0000
Ag: 0.5000 0.0000 0.0000

***

Computed, not measured: CoTcAg2P after structural relaxation at the GGA-PBE level of DFT.

Calculated values
Uncorrected energy: -4.796 eV per atom
Formation energy: 0.9210 eV per atom
Total magnetic moment: 3.0 μB/cell

Cell: 4.5991 4.4514 4.5991 Å, 90.00 90.00 90.00°
Each line ends with the local moment (μB).
Positions (direct):
P: 0.0000 0.0000 0.0000  -0.01
Ag: 0.0000 0.0000 0.5000  -0.01
Co: 0.5000 0.5000 0.5000  2.03
Ag: 0.5000 0.0000 0.0000  0.01
Tc: 0.0000 0.5000 0.0000  1.00

***

Computed, not measured: Pa2CoAg after structural relaxation at the GGA-PBE level of DFT.

Calculated values
Uncorrected energy: -6.942 eV per atom
Formation energy: 0.2951 eV per atom
Total magnetic moment: 0.0 μB/cell
Energy above the lowest structure with this stoichiometry: 324.6 meV/atom

Cell: 3.2918 3.2918 9.9130 Å, 80.44 80.44 60.00°
Positions (direct):
Pa: 0.1049 0.1049 0.6852
Pa: 0.8951 0.8951 0.3148
Co: 0.5000 0.5000 0.5000
Ag: 0.0000 0.0000 0.0000

***

Computed, not measured: Pa2CoAg after structural relaxation at the GGA-PBE level of DFT.

Calculated values
Uncorrected energy: -7.267 eV per atom
Formation energy: -0.0295 eV per atom
Total magnetic moment: 0.0 μB/cell
Energy above the lowest structure with this stoichiometry: 0.0 meV/atom

Cell: 3.0790 3.0790 8.4770 Å, 90.00 90.00 90.00°
Positions (direct):
Co: 0.5000 0.5000 0.0000
Ag: 0.5000 0.5000 0.5000
Pa: 0.0000 0.0000 0.2119
Pa: 0.0000 0.0000 0.7881

***

Computed, not measured: PaCoAg after structural relaxation at the GGA-PBE level of DFT.

Calculated values
Uncorrected energy: -6.735 eV per atom
Formation energy: -0.2510 eV per atom
Total magnetic moment: 0.0 μB/cell

Cell: 3.5294 3.6953 8.7808 Å, 90.00 101.59 90.00°
Positions (direct):
Co: 0.9449 0.7500 0.8899
Ag: 0.2126 0.2500 0.4251
Ag: 0.7874 0.7500 0.5749
Co: 0.0551 0.2500 0.1101
Pa: 0.4076 0.2500 0.8153
Pa: 0.5924 0.7500 0.1847

***

Computed, not measured: PaCo4Ag after structural relaxation at the GGA-PBE level of DFT.

Calculated values
Uncorrected energy: -6.877 eV per atom
Formation energy: -0.0815 eV per atom
Total magnetic moment: 3.6 μB/cell

Cell: 4.9456 4.9456 4.9456 Å, 60.00 60.00 60.00°
Each line ends with the local moment (μB).
Positions (direct):
Co: 0.6250 0.6250 0.1251  1.10
Pa: 0.2500 0.2500 0.2500  -0.56
Co: 0.6250 0.6250 0.6250  1.10
Co: 0.1251 0.6250 0.6250  1.10
Ag: 0.0000 0.0000 0.0000  -0.01
Co: 0.6250 0.1251 0.6250  1.10

***

Computed, not measured: CoAg2Pb after structural relaxation at the GGA-PBE level of DFT.

Calculated values
Uncorrected energy: -3.757 eV per atom
Formation energy: 0.3718 eV per atom
Total magnetic moment: 1.1 μB/cell

Cell: 3.3088 3.3159 6.7411 Å, 90.00 90.00 90.00°
Each line ends with the local moment (μB).
Positions (direct):
Pb: 0.5000 0.5000 0.7138  -0.03
Ag: 0.5000 0.5000 0.2684  -0.01
Ag: 0.0000 0.0000 0.0319  0.00
Co: 0.0000 0.0000 0.4859  1.24

***

Computed, not measured: CoAgPb after structural relaxation at the GGA-PBE level of DFT.

Calculated values
Uncorrected energy: -4.158 eV per atom
Formation energy: 0.3970 eV per atom
Total magnetic moment: 0.7 μB/cell

Cell: 4.5346 4.3452 3.0533 Å, 90.00 90.00 90.00°
Each line ends with the local moment (μB).
Positions (direct):
Co: 0.5000 0.5000 0.5000  0.75
Ag: 0.0000 0.5000 0.0000  -0.01
Pb: 0.5000 0.0000 0.0000  -0.02

***

Computed, not measured: CoAgPb after structural relaxation at the GGA-PBE level of DFT.

Calculated values
Uncorrected energy: -3.992 eV per atom
Formation energy: 0.5632 eV per atom
Total magnetic moment: 1.5 μB/cell

Cell: 3.2463 3.2540 6.6840 Å, 103.72 89.77 120.11°
Each line ends with the local moment (μB).
Positions (direct):
Pb: 0.7827 0.8315 0.9953  -0.02
Ag: 0.2524 0.7686 0.3874  0.00
Co: 0.0153 0.2960 0.6875  1.52

***

Computed, not measured: Co3AgPb after structural relaxation at the GGA-PBE level of DFT.

Calculated values
Uncorrected energy: -4.153 eV per atom
Formation energy: 1.4222 eV per atom
Total magnetic moment: 5.5 μB/cell
Energy above the lowest structure with this stoichiometry: 0.0 meV/atom

Cell: 4.7000 4.7000 4.7000 Å, 90.00 90.00 90.00°
Each line ends with the local moment (μB).
Positions (direct):
Ag: 0.0000 0.0000 0.0000  0.07
Co: 0.0000 0.5000 0.0000  1.86
Pb: 0.5000 0.5000 0.5000  -0.05
Co: 0.0000 0.0000 0.5000  2.39
Co: 0.5000 0.0000 0.0000  1.36

***

Computed, not measured: CoAg2Pb after structural relaxation at the GGA-PBE level of DFT.

Calculated values
Uncorrected energy: -3.658 eV per atom
Formation energy: 0.4716 eV per atom
Total magnetic moment: 1.6 μB/cell

Cell: 5.1756 5.1756 3.1228 Å, 90.00 90.00 115.13°
Each line ends with the local moment (μB).
Positions (direct):
Co: 0.5000 0.0000 0.5000  1.66
Pb: 0.0000 0.5000 0.5000  0.00
Ag: 0.0000 0.0000 0.0000  -0.01
Ag: 0.5000 0.5000 0.0000  -0.01